(1)
Here is a relaxed K3CaHg12 crystal from the Alexandria database. Energies are from PBE.

Cell: 4.9165 4.9165 19.6567 Å, 90.00 90.00 90.00°
Closest atoms and distances in Å follow each position.
Atoms (fractional coordinates):
Hg 0.0000 0.5000 0.6288  8 Hg 3.48-3.68, 4 K 3.51-3.53
K 0.0000 0.0000 0.7562  12 Hg 3.48-3.54
Hg 0.5000 0.5000 0.7683  8 Hg 3.37-3.68, 4 K 3.48
K 0.0000 0.0000 0.2438  12 Hg 3.48-3.54
Hg 0.5000 0.5000 0.0000  8 Hg 3.33, 4 Ca 3.48
Hg 0.5000 0.0000 0.6288  8 Hg 3.48-3.68, 4 K 3.51-3.53
Hg 0.5000 0.0000 0.8859  8 Hg 3.33-3.48, 2 Ca 3.33, 2 K 3.54
Ca 0.0000 0.0000 0.0000  12 Hg 3.33-3.48
K 0.0000 0.0000 0.5000  12 Hg 3.48-3.53
Hg 0.5000 0.5000 0.5000  4 K 3.48, 8 Hg 3.53
Hg 0.5000 0.0000 0.3712  8 Hg 3.48-3.68, 4 K 3.51-3.53
Hg 0.5000 0.0000 0.1141  2 Ca 3.33, 8 Hg 3.33-3.48, 2 K 3.54
Hg 0.5000 0.5000 0.2317  8 Hg 3.37-3.68, 4 K 3.48
Hg 0.0000 0.5000 0.3712  8 Hg 3.48-3.68, 4 K 3.51-3.53
Hg 0.0000 0.5000 0.1141  8 Hg 3.33-3.48, 2 Ca 3.33, 2 K 3.54
Hg 0.0000 0.5000 0.8859  8 Hg 3.33-3.48, 2 Ca 3.33, 2 K 3.54



(2)
Here is a relaxed K2Ca2Hg15 crystal from the Alexandria database. Energies are from PBE.

Cell: 8.4665 8.4665 8.4665 Å, 74.92 74.92 74.92°
Closest atoms and distances in Å follow each position.
Atoms (fractional coordinates):
Hg 0.6224 0.1439 0.6224  6 Hg 3.11-3.16
Ca 0.0987 0.0987 0.0987  9 Hg 3.22-3.52, 1 Ca 3.57
Hg 0.2943 0.0000 0.7057  6 Hg 3.03-3.39
K 0.3368 0.3368 0.3368  12 Hg 3.65-3.92
Hg 0.8561 0.3776 0.3776  6 Hg 3.11-3.16
Hg 0.0000 0.7057 0.2943  6 Hg 3.03-3.39
Hg 0.0000 0.2943 0.7057  6 Hg 3.03-3.39
Hg 0.6224 0.6224 0.1439  6 Hg 3.11-3.16
Hg 0.7057 0.0000 0.2943  6 Hg 3.03-3.39
Hg 0.0000 0.0000 0.5000  8 Hg 3.11-3.39, 2 Ca 3.22
Hg 0.2943 0.7057 0.0000  6 Hg 3.03-3.39
Hg 0.7057 0.2943 0.0000  6 Hg 3.03-3.39
Hg 0.3776 0.8561 0.3776  6 Hg 3.11-3.16
Hg 0.5000 0.0000 0.0000  8 Hg 3.11-3.39, 2 Ca 3.22
Hg 0.1439 0.6224 0.6224  6 Hg 3.11-3.16
K 0.6632 0.6632 0.6632  12 Hg 3.65-3.92
Hg 0.3776 0.3776 0.8561  6 Hg 3.11-3.16
Hg 0.0000 0.5000 0.0000  8 Hg 3.11-3.39, 2 Ca 3.22
Ca 0.9013 0.9013 0.9013  9 Hg 3.22-3.52, 1 Ca 3.57



(3)
Here is a relaxed KCaHg4 crystal from the Alexandria database. Energies are from PBE.

For the polymorph energy (0 for the lowest one), the calculation gives 0.0 meV per atom.

Cell: 5.1011 5.1005 8.1231 Å, 90.03 89.99 120.01°
Closest atoms and distances in Å follow each position.
Atoms (fractional coordinates):
Hg 0.3373 0.1661 0.2015  3 Hg 2.94-2.95
Ca 0.0040 0.4994 0.9980  12 Hg 3.37-3.38
Hg 0.3373 0.1662 0.7950  3 Hg 2.94-2.95
K 0.0042 0.4994 0.4981  12 Hg 3.80-3.81, 2 Ca 4.06
Hg 0.6706 0.8327 0.2014  3 Hg 2.94-2.95
Hg 0.6707 0.8328 0.7949  3 Hg 2.94-2.95



(4)
Here is a relaxed K4CaHg crystal from the Alexandria database. Energies are from PBE.

Cell: 7.9232 7.9232 7.9232 Å, 60.00 60.00 60.00°
Closest atoms and distances in Å follow each position.
Atoms (fractional coordinates):
K 0.8749 0.3750 0.3750  6 K 3.96
Hg 0.0000 0.0000 0.0000  12 K 4.65, 4 Ca 4.85
Ca 0.7500 0.7500 0.7500  12 K 4.65, 4 Hg 4.85
K 0.3750 0.8749 0.3750  6 K 3.96
K 0.3750 0.3750 0.8749  6 K 3.96
K 0.3750 0.3750 0.3750  6 K 3.96



(5)
Here is a relaxed K2CaHg crystal from the Alexandria database. Energies are from PBE.

Cell: 4.1319 4.1353 11.5301 Å, 68.61 90.00 90.00°
Closest atoms and distances in Å follow each position.
Atoms (fractional coordinates):
K 0.5000 0.2183 0.2858  4 K 4.13-4.14, 4 Ca 4.30-4.31, 1 Hg 4.49
K 0.0000 0.0672 0.9301  1 Ca 3.76, 4 Hg 3.79-3.81, 4 K 4.13-4.14
Hg 0.5000 0.7944 0.7039  4 Ca 3.21
Ca 0.0000 0.4201 0.5801  4 Hg 3.21



(6)
Here is a relaxed KCa2Hg2 crystal from the Alexandria database. Energies are from PBE.

For the polymorph energy (0 for the lowest one), the calculation gives 0.0 meV per atom.

Cell: 9.1031 9.1031 3.9598 Å, 90.00 90.00 90.00°
Closest atoms and distances in Å follow each position.
Atoms (fractional coordinates):
Hg 0.8532 0.6468 0.0000  6 Ca 3.31-3.34, 2 K 3.48
Ca 0.3557 0.1443 0.5000  6 Hg 3.31-3.34
Hg 0.3532 0.8532 0.0000  6 Ca 3.31-3.34, 2 K 3.48
Hg 0.6468 0.1468 0.0000  6 Ca 3.31-3.34, 2 K 3.48
Ca 0.1443 0.6443 0.5000  6 Hg 3.31-3.34
Ca 0.8557 0.3557 0.5000  6 Hg 3.31-3.34
K 0.5000 0.5000 0.0000  4 Hg 3.48
Hg 0.1468 0.3532 0.0000  6 Ca 3.31-3.34, 2 K 3.48
K 0.0000 0.0000 0.0000  4 Hg 3.48
Ca 0.6443 0.8557 0.5000  6 Hg 3.31-3.34



| no. | spin magnetization (μB per cell) | electronic total energy (eV per atom) |
| --- | --- | --- |
| 1 | 0.0 | -0.7943 |
| 2 | 0.0 | -0.7567 |
| 3 | 0.0 | -1.0539 |
| 4 | 0.0 | -0.9160 |
| 5 | 0.0 | -1.2829 |
| 6 | 0.0 | -1.4707 |